No. 1
Density functional theory data (PBE) for crystalline TaB3F at its relaxed geometry.

```
TaB3F
1.0
4.3934 0.0000 0.0000
0.0000 4.3934 0.0000
0.0000 0.0000 4.3934
Ta B F
1 3 1
Direct
0.0000 0.0000 0.0000 Ta
0.0000 0.0000 0.5000 B
0.0000 0.5000 0.0000 B
0.5000 0.0000 0.0000 B
0.5000 0.5000 0.5000 F
```

- Raw formation energy: 1.6878 eV/atom
- Polymorph energy (0 for the lowest one): 659 meV/atom

---

No. 2
Density functional theory data (PBE) for crystalline TaBF3 at its relaxed geometry.

```
TaBF3
1.0
4.1733 0.0000 0.0000
0.0000 4.1733 0.0000
0.0000 0.0000 4.1733
Ta B F
1 1 3
Direct
0.0000 0.0000 0.0000 Ta
0.5000 0.5000 0.5000 B
0.0000 0.0000 0.5000 F
0.0000 0.5000 0.0000 F
0.5000 0.0000 0.0000 F
```

- Raw formation energy: -0.7788 eV/atom
- Polymorph energy (0 for the lowest one): 0 meV/atom

---

No. 3
Density functional theory data (PBE) for crystalline Ta2BTeF at its relaxed geometry.

```
Ta2BTeF
1.0
4.5799 0.0000 0.0000
0.0000 4.5799 0.0000
0.0000 0.0000 3.8210
Ta B Te F
2 1 1 1
Direct
0.0000 0.5000 0.0000 Ta
0.5000 0.0000 0.0000 Ta
0.0000 0.0000 0.0000 B
0.5000 0.5000 0.5000 Te
0.0000 0.0000 0.5000 F
```

- Raw formation energy: 0.1718 eV/atom

---

no.,calculated volume (Å³/cell)
1,84.8
2,72.7
3,80.1